LaPdSe3 | PBE | relaxed

Unit cell a=4.963 b=4.963 c=4.963 alpha=90.00 beta=90.00 gamma=90.00
Space group Pm-3m (No. 221)
One atom of each set of equivalent atoms:
La1 0.000 0.000 0.000 (multiplicity 1)
Pd1 0.500 0.500 0.500 (multiplicity 1)
Se1 0.000 0.500 0.500 (multiplicity 3)

Results
Its formation energy without anion corrections is -0.87 eV/atom.

---

PmGa3Rh5 | PBE | relaxed

Unit cell a=4.171 b=13.075 c=11.553 alpha=90.00 beta=90.00 gamma=90.00
Space group Cmcm (No. 63)
One atom of each set of equivalent atoms:
Pm1 0.000 0.214 0.250 (multiplicity 4)
Ga1 0.000 0.094 0.750 (multiplicity 4)
Ga2 0.000 0.382 0.566 (multiplicity 8)
Rh1 0.000 0.000 0.000 (multiplicity 4)
Rh2 0.000 0.196 0.560 (multiplicity 8)
Rh3 0.000 0.440 0.138 (multiplicity 8)

Results
For the formation energy, the calculation gives -509 meV/atom.

---

Q: Which DFT total energy values were calculated for the entries above? A: -4.980 -6.130, in eV/atom.
Q: Which magnetic moment values were calculated for the entries above? A: 0.00 0.00, in Bohr magnetons per cell.